Entry 1:
BeRe2N | PBE | relaxed

Values from the calculation:
energy: -33.27 eV/f.u.
distance to the lowest polymorph of the same formula: 0 meV/atom
E_form (uncorrected): 0.92 eV per atom
mass density: 15.2 Mg/m³

a b c (Å): 5.5663 5.5663 5.5663
angles (deg): 90.00 90.00 90.00
Space group Fm-3m (No. 225)
Unique sites:
Be 0.0000 0.0000 0.0000 [4 per cell]
Re 0.2500 0.2500 0.2500 [8 per cell]
N 0.0000 0.0000 0.5000 [4 per cell]

=====

Entry 2:
BeReN3 | PBE | relaxed

Values from the calculation:
energy: -35.86 eV/f.u.
E_form (uncorrected): 1.06 eV per atom
mass density: 6.9 Mg/m³

a b c (Å): 3.8576 3.8576 3.8576
angles (deg): 90.00 90.00 90.00
Space group Pm-3m (No. 221)
Unique sites:
Be 0.0000 0.0000 0.0000 [1 per cell]
Re 0.5000 0.5000 0.5000 [1 per cell]
N 0.0000 0.5000 0.5000 [3 per cell]

=====

Entry 3:
BeReN | PBE | relaxed

Values from the calculation:
energy: -24.06 eV/f.u.
E_form (uncorrected): 0.15 eV per atom
mass density: 11.7 Mg/m³

a b c (Å): 3.0705 3.0713 6.3492
angles (deg): 94.50 94.65 90.15
Space group P-1 (No. 2)
Unique sites:
Be 0.1982 0.2007 0.1917 [2 per cell]
Re 0.2713 0.2707 0.6261 [2 per cell]
N 0.3529 0.3537 0.9539 [2 per cell]

=====

Entry 4:
Be3ReN | PBE | relaxed

Values from the calculation:
energy: -30.24 eV/f.u.
distance to the lowest polymorph of the same formula: 0 meV/atom
E_form (uncorrected): 0.34 eV per atom
mass density: 8.3 Mg/m³

a b c (Å): 3.5681 3.5681 3.5681
angles (deg): 90.00 90.00 90.00
Space group Pm-3m (No. 221)
Unique sites:
Be 0.0000 0.0000 0.5000 [3 per cell]
Re 0.5000 0.5000 0.5000 [1 per cell]
N 0.0000 0.0000 0.0000 [1 per cell]

=====

Entry 5:
Be3ReN | PBE | relaxed

Values from the calculation:
energy: -20.55 eV/f.u.
distance to the lowest polymorph of the same formula: 1938 meV/atom
E_form (uncorrected): 2.28 eV per atom
mass density: 4.9 Mg/m³

a b c (Å): 4.2598 4.2598 4.2598
angles (deg): 90.00 90.00 90.00
Space group Pm-3m (No. 221)
Unique sites:
Be 0.0000 0.0000 0.5000 [3 per cell]
Re 0.0000 0.0000 0.0000 [1 per cell]
N 0.5000 0.5000 0.5000 [1 per cell]

=====

Entry 6:
BeRe2N | PBE | relaxed

Values from the calculation:
energy: -33.15 eV/f.u.
distance to the lowest polymorph of the same formula: 31 meV/atom
E_form (uncorrected): 0.95 eV per atom
mass density: 12.0 Mg/m³

a b c (Å): 4.4789 4.4789 10.8699
angles (deg): 90.00 90.00 90.00
Space group I-42d (No. 122)
Unique sites:
Be 0.0000 0.0000 0.0000 [4 per cell]
Re 0.1949 0.2500 0.6250 [8 per cell]
N 0.0000 0.0000 0.5000 [4 per cell]

=====

Entry 7:
BeReN3 | PBE | relaxed

Values from the calculation:
energy: -34.00 eV/f.u.
E_form (uncorrected): 1.43 eV per atom
mass density: 9.9 Mg/m³

a b c (Å): 3.4142 3.4142 3.4142
angles (deg): 90.00 90.00 90.00
Space group Pm-3m (No. 221)
Unique sites:
Be 0.0000 0.0000 0.0000 [1 per cell]
Re 0.5000 0.5000 0.5000 [1 per cell]
N 0.0000 0.0000 0.5000 [3 per cell]

=====

Entry 8:
Be2ReRhN | PBE | relaxed

Values from the calculation:
energy: -26.21 eV/f.u.
E_form (uncorrected): 1.87 eV per atom
mass density: 7.0 Mg/m³

a b c (Å): 3.9812 3.9812 4.8039
angles (deg): 90.00 90.00 90.00
Space group P4/mmm (No. 123)
Unique sites:
Be 0.0000 0.5000 0.0000 [2 per cell]
Re 0.0000 0.0000 0.5000 [1 per cell]
Rh 0.0000 0.0000 0.0000 [1 per cell]
N 0.5000 0.5000 0.5000 [1 per cell]

=====

Entry 9:
BeReSN2 | PBE | relaxed

Values from the calculation:
energy: -33.59 eV/f.u.
distance to the lowest polymorph of the same formula: 0 meV/atom
E_form (uncorrected): 0.67 eV per atom
mass density: 5.7 Mg/m³

a b c (Å): 3.7633 3.7633 5.2641
angles (deg): 90.00 90.00 90.00
Space group P4/mmm (No. 123)
Unique sites:
Be 0.0000 0.0000 0.0000 [1 per cell]
Re 0.5000 0.5000 0.5000 [1 per cell]
S 0.5000 0.5000 0.0000 [1 per cell]
N 0.0000 0.5000 0.5000 [2 per cell]

=====

Entry 10:
BeReSN2 | PBE | relaxed

Values from the calculation:
energy: -30.09 eV/f.u.
distance to the lowest polymorph of the same formula: 700 meV/atom
E_form (uncorrected): 1.37 eV per atom
mass density: 8.0 Mg/m³

a b c (Å): 3.4699 3.4699 4.3782
angles (deg): 90.00 90.00 90.00
Space group P4/mmm (No. 123)
Unique sites:
Be 0.0000 0.0000 0.0000 [1 per cell]
Re 0.5000 0.5000 0.5000 [1 per cell]
S 0.0000 0.0000 0.5000 [1 per cell]
N 0.0000 0.5000 0.0000 [2 per cell]

=====

Entry 11:
BeRe2SbN | PBE | relaxed

Values from the calculation:
energy: -24.39 eV/f.u.
E_form (uncorrected): 3.34 eV per atom
mass density: 8.3 Mg/m³

a b c (Å): 4.9153 4.9153 4.2611
angles (deg): 90.00 90.00 90.00
Space group P4/mmm (No. 123)
Unique sites:
Be 0.0000 0.0000 0.0000 [1 per cell]
Re 0.0000 0.5000 0.5000 [2 per cell]
Sb 0.0000 0.0000 0.5000 [1 per cell]
N 0.5000 0.5000 0.0000 [1 per cell]

=====

Entry 12:
BeReSeN2 | PBE | relaxed

Values from the calculation:
energy: -28.45 eV/f.u.
distance to the lowest polymorph of the same formula: 955 meV/atom
E_form (uncorrected): 1.57 eV per atom
mass density: 8.6 Mg/m³

a b c (Å): 3.5655 3.5655 4.5717
angles (deg): 90.00 90.00 90.00
Space group P4/mmm (No. 123)
Unique sites:
Be 0.0000 0.0000 0.0000 [1 per cell]
Re 0.5000 0.5000 0.5000 [1 per cell]
Se 0.0000 0.0000 0.5000 [1 per cell]
N 0.0000 0.5000 0.0000 [2 per cell]